# Ir2BrN, single point on PBEsol structure, DFT SCAN
# total DFT energy (no corrections) = -41.835 eV/atom
# D(E_F) = 0.512 states/eV/atom
data_Ir2BrN
_chemical_formula_sum 'Ir4 Br2 N2'
_cell_length_a 4.7856
_cell_length_b 4.7856
_cell_length_c 6.6887
_cell_angle_alpha 110.96
_cell_angle_beta 110.96
_cell_angle_gamma 90.00
_symmetry_space_group_name_H-M 'P 1'
_symmetry_Int_Tables_number 1
_symmetry_space_group_name_Hall 'P 1'
loop_
_atom_site_label
_atom_site_fract_x
_atom_site_fract_y
_atom_site_fract_z
Ir1 0.7569 0.3750 0.2500
Ir2 0.4931 0.8750 0.2500
Ir3 0.6250 0.5069 0.7500
Ir4 0.1250 0.2431 0.7500
Br1 0.2500 0.7500 0.5000
Br2 0.0000 0.0000 0.0000
N1 0.7500 0.2500 0.5000
N2 0.5000 0.5000 0.0000